Record 1
DFT (PBE) results for a geometry-optimized Dy3Pd7 structure.

CIF file:
```
data_Dy3Pd7
_chemical_formula_sum 'Dy6 Pd14'
_space_group_name_H-M_alt 'C 1 2/m 1'
_space_group_IT_number 12
_cell_length_a 15.370
_cell_length_b 4.220
_cell_length_c 5.835
_cell_angle_alpha 90.00
_cell_angle_beta 104.52
_cell_angle_gamma 90.00
loop_
_space_group_symop_operation_xyz
'x,y,z'
'-x,-y,-z'
'-x,y,-z'
'x,-y,z'
'x+1/2,y+1/2,z'
'-x+1/2,-y+1/2,-z'
'-x+1/2,y+1/2,-z'
'x+1/2,-y+1/2,z'
loop_
_atom_site_label
_atom_site_type_symbol
_atom_site_fract_x
_atom_site_fract_y
_atom_site_fract_z
Dy1 Dy 0.000 0.000 0.000
Dy2 Dy 0.188 0.000 0.633
Pd1 Pd 0.000 0.000 0.500
Pd2 Pd 0.098 0.500 0.815
Pd3 Pd 0.100 0.500 0.317
Pd4 Pd 0.199 0.000 0.125
```

Output
density = 11.17 g cm⁻³
crystal system = monoclinic
spin magnetization = 0.00 μB per formula unit
E = -118.1 eV/cell

=====

Record 2
DFT (PBE) results for a geometry-optimized Dy2Pd3 structure.

CIF file:
```
data_Dy2Pd3
_chemical_formula_sum 'Dy6 Pd9'
_space_group_name_H-M_alt 'R -3 m'
_space_group_IT_number 166
_space_group_name_Hall '-R 3 2"'
_cell_length_a 4.4260
_cell_length_b 4.4260
_cell_length_c 19.5275
_cell_angle_alpha 90.00
_cell_angle_beta 90.00
_cell_angle_gamma 120.00
loop_
_atom_site_label
_atom_site_type_symbol
_atom_site_fract_x
_atom_site_fract_y
_atom_site_fract_z
Dy1 Dy 0.0000 0.0000 0.0904
Pd1 Pd 0.0000 0.0000 0.3546
Pd2 Pd 0.0000 0.0000 0.5000
```

Output
density = 9.69 g cm⁻³
crystal system = trigonal
spin magnetization = 0.00 μB per formula unit
E = -85.9 eV/cell

=====

Record 3
DFT (PBE) results for a geometry-optimized DyPd3 structure.

CIF file:
```
data_DyPd3
_chemical_formula_sum 'Dy4 Pd12'
_space_group_name_H-M_alt 'F m -3 m'
_space_group_IT_number 225
_space_group_name_Hall '-F 4 2 3'
_cell_length_a 6.606
_cell_length_b 6.606
_cell_length_c 6.606
_cell_angle_alpha 90.00
_cell_angle_beta 90.00
_cell_angle_gamma 90.00
loop_
_atom_site_label
_atom_site_type_symbol
_atom_site_fract_x
_atom_site_fract_y
_atom_site_fract_z
Dy1 Dy 0.000 0.000 0.000
Pd1 Pd 0.000 0.000 0.500
Pd2 Pd 0.250 0.250 0.250
```

Output
density = 11.10 g cm⁻³
crystal system = cubic
spin magnetization = 0.00 μB per formula unit
E = -92.2 eV/cell

=====

Record 4
DFT (PBE) results for a geometry-optimized DyPd3 structure.

CIF file:
```
data_DyPd3
_chemical_formula_sum 'Dy1 Pd3'
_space_group_name_H-M_alt 'P m -3 m'
_space_group_IT_number 221
_space_group_name_Hall '-P 4 2 3'
_cell_length_a 4.123
_cell_length_b 4.123
_cell_length_c 4.123
_cell_angle_alpha 90.00
_cell_angle_beta 90.00
_cell_angle_gamma 90.00
loop_
_atom_site_label
_atom_site_type_symbol
_atom_site_fract_x
_atom_site_fract_y
_atom_site_fract_z
Dy1 Dy 0.000 0.000 0.000
Pd1 Pd 0.000 0.500 0.500
```

Output
density = 11.41 g cm⁻³
crystal system = cubic
spin magnetization = 0.00 μB per formula unit
E = -23.7 eV/cell

=====

Record 5
DFT (PBE) results for a geometry-optimized Dy4Pd structure.

CIF file:
```
data_Dy4Pd
_chemical_formula_sum 'Dy32 Pd8'
_space_group_name_H-M_alt 'F d d 2'
_space_group_IT_number 43
_space_group_name_Hall 'F 2 -2d'
_cell_length_a 12.620
_cell_length_b 12.670
_cell_length_c 7.317
_cell_angle_alpha 90.00
_cell_angle_beta 90.00
_cell_angle_gamma 90.00
loop_
_atom_site_label
_atom_site_type_symbol
_atom_site_fract_x
_atom_site_fract_y
_atom_site_fract_z
Dy1 Dy 0.078 0.373 0.000
Dy2 Dy 0.122 0.328 0.458
Pd1 Pd 0.000 0.000 0.854
```

Output
offset from the most stable computed form = 0.00 eV/f.u.
density = 8.59 g cm⁻³
crystal system = orthorhombic
spin magnetization = 0.00 μB per formula unit
E = -199.9 eV/cell

=====

Record 6
DFT (PBE) results for a geometry-optimized Dy2Pd3 structure.

CIF file:
```
data_Dy2Pd3
_chemical_formula_sum 'Dy8 Pd12'
_space_group_name_H-M_alt 'I b a m'
_space_group_IT_number 72
_space_group_name_Hall '-I 2 2c'
_cell_length_a 5.942
_cell_length_b 13.134
_cell_length_c 5.760
_cell_angle_alpha 90.00
_cell_angle_beta 90.00
_cell_angle_gamma 90.00
loop_
_atom_site_label
_atom_site_type_symbol
_atom_site_fract_x
_atom_site_fract_y
_atom_site_fract_z
Dy1 Dy 0.241 0.158 0.000
Pd1 Pd 0.000 0.000 0.250
Pd2 Pd 0.211 0.376 0.000
```

Output
density = 9.52 g cm⁻³
crystal system = orthorhombic
spin magnetization = 0.00 μB per formula unit
E = -114.0 eV/cell

=====

Record 7
DFT (PBE) results for a geometry-optimized DyPd6 structure.

CIF file:
```
data_DyPd6
_chemical_formula_sum 'Dy2 Pd12'
_space_group_name_H-M_alt 'I m -3 m'
_space_group_IT_number 229
_space_group_name_Hall '-I 4 2 3'
_cell_length_a 6.965
_cell_length_b 6.965
_cell_length_c 6.965
_cell_angle_alpha 90.00
_cell_angle_beta 90.00
_cell_angle_gamma 90.00
loop_
_atom_site_label
_atom_site_type_symbol
_atom_site_fract_x
_atom_site_fract_y
_atom_site_fract_z
Dy1 Dy 0.000 0.000 0.000
Pd1 Pd 0.000 0.250 0.500
```

Output
density = 7.87 g cm⁻³
crystal system = cubic
spin magnetization = 0.00 μB per formula unit
E = -63.3 eV/cell

=====

Record 8
DFT (PBE) results for a geometry-optimized DyPd3 structure.

CIF file:
```
data_DyPd3
_chemical_formula_sum 'Dy2 Pd6'
_space_group_name_H-M_alt 'P m m n'
_space_group_IT_number 59
_cell_length_a 4.650
_cell_length_b 5.900
_cell_length_c 5.205
_cell_angle_alpha 90.00
_cell_angle_beta 90.00
_cell_angle_gamma 90.00
loop_
_space_group_symop_operation_xyz
'x,y,z'
'-x,-y,-z'
'-x+1/2,-y+1/2,z'
'x+1/2,y+1/2,-z'
'x+1/2,-y,-z'
'-x+1/2,y,z'
'-x,y+1/2,-z'
'x,-y+1/2,z'
loop_
_atom_site_label
_atom_site_type_symbol
_atom_site_fract_x
_atom_site_fract_y
_atom_site_fract_z
Dy1 Dy 0.250 0.250 0.159
Pd1 Pd 0.250 0.005 0.662
Pd2 Pd 0.250 0.750 0.196
```

Output
density = 11.20 g cm⁻³
crystal system = orthorhombic
spin magnetization = 0.00 μB per formula unit
E = -46.8 eV/cell